# NbSnMo2S, relaxed, DFT PBEsol
# E_form (uncorrected) = 746 meV/atom
# symmetry = P4/mmm (123)
# uncorrected energy = -7.85 eV/atom
data_NbSnMo2S
_chemical_formula_sum 'Nb1 Sn1 Mo2 S1'
_cell_length_a 4.3201
_cell_length_b 4.3201
_cell_length_c 5.0616
_cell_angle_alpha 90.00
_cell_angle_beta 90.00
_cell_angle_gamma 90.00
_space_group_name_H-M_alt 'P 1'
_space_group_IT_number 1
_space_group_name_Hall 'P 1'
loop_
_atom_site_label
_atom_site_type_symbol
_atom_site_fract_x
_atom_site_fract_y
_atom_site_fract_z
Nb1 Nb 0.5000 0.5000 0.5000
Sn1 Sn 0.0000 0.0000 0.5000
Mo1 Mo 0.0000 0.5000 0.0000
Mo2 Mo 0.5000 0.0000 0.0000
S1 S 0.0000 0.0000 0.0000